Density functional theory data (GGA-PBE) for a relaxed LaTlZn crystal.

Cell lengths 5.5815, 5.5815, 5.5815 Å; angles 141.19, 129.50, 65.46 degrees
Fractional positions:
La (0.0009, 0.0009, 0.0000)
Tl (0.3386, 0.3386, 0.0000)
Zn (0.6604, 0.6604, 0.0000)

Values from the calculation:
The value obtained for the volume is 27.639 Å³/atom. As for the crystal system: orthorhombic. As for the space-group type: Imm2. The formation energy comes out at -0.1324 eV per atom. The calculation puts the uncorrected energy at -9.0 eV for the cell shown. The density of states at the Fermi level comes out at 0.81 states/eV per atom.